(1)
! Tb3Tm4Sc PBE optimized geometry; values from VASP
&SYSTEM
  ibrav = 0, nat = 16, ntyp = 3
/
ATOMIC_SPECIES
Tb 158.93 Tb.upf
Tm 168.93 Tm.upf
Sc 44.96 Sc.upf
ATOMIC_POSITIONS angstrom
Tb 3.9850 4.4629 0.0000
Tb 6.0315 4.4543 2.7583
Tb 2.9521 2.6833 2.7642
Tb 0.9056 2.6746 5.5225
Tb 2.9521 2.6833 8.2809
Tb 6.0315 4.4543 8.2867
Tm 0.9250 6.2464 0.0000
Tm 3.9796 0.8902 0.0000
Tm 6.0568 0.8949 2.7182
Tm 2.9774 6.2426 2.8043
Tm 0.9003 6.2473 5.5225
Tm 4.0044 0.8911 5.5225
Tm 2.9774 6.2426 8.2407
Tm 6.0568 0.8949 8.3269
Sc 0.9008 2.6654 0.0000
Sc 3.9801 4.4721 5.5225
CELL_PARAMETERS angstrom
6.1587 0.0000 0.0000
0.0000 7.1375 0.0000
0.0000 0.0000 11.0451
! Space-group type   Pmn2_1, No. 31
! Volume   485.5 Å³/cell
! Energy relative to the elements   0.01 eV per atom


(2)
! VInI2 PBE optimized geometry; values from VASP
&SYSTEM
  ibrav = 0, nat = 8, ntyp = 3
/
ATOMIC_SPECIES
I 126.90 I.upf
In 114.82 In.upf
V 50.94 V.upf
ATOMIC_POSITIONS angstrom
I -3.9731 -5.2198 0.8395
I -3.0674 -6.6559 -4.3356
I -4.6746 -10.3477 -3.5061
I -8.3803 -14.3136 -3.0541
In 0.0000 0.0000 0.0000
In -6.4689 -9.2292 0.7186
V -4.0334 -5.4830 -1.9641
V -3.5788 -9.0393 -5.7468
CELL_PARAMETERS angstrom
-6.9235 -5.6730 4.5013
-1.1433 -5.2931 -8.4294
-1.9809 -7.3024 -1.1000
! Uncorrected formation energy   -0.035 eV/atom
! Space-group type   I-42d, No. 122
! Volume   288.7 Å³/cell


(3)
! Pm2SbI3 PBE optimized geometry; values from VASP
&SYSTEM
  ibrav = 0, nat = 12, ntyp = 3
/
ATOMIC_SPECIES
Pm 145.00 Pm.upf
Sb 121.76 Sb.upf
I 126.90 I.upf
ATOMIC_POSITIONS angstrom
Pm -4.8777 -3.9591 11.3692
Pm 1.2795 -3.5890 5.0593
Pm -3.6152 -2.3721 7.2533
Pm 0.0170 -5.1760 9.1752
Sb -2.2834 -3.2013 9.9649
Sb -1.3148 -4.3468 6.4635
I -3.4792 0.6745 8.4976
I -0.1190 -8.2227 7.9309
I -3.9187 -4.4529 14.3637
I 0.3205 -3.0952 2.0648
I -1.4058 -6.8028 11.5548
I -2.1924 -0.7453 4.8736
CELL_PARAMETERS angstrom
-2.9625 -3.5936 0.3561
4.6778 -6.3141 5.8296
-5.3135 2.3596 10.2428
! Uncorrected formation energy   -1.202 eV/atom
! Space-group type   C2/m, No. 12
! Volume   507.8 Å³/cell


(4)
! Pr4Si PBE optimized geometry; values from VASP
&SYSTEM
  ibrav = 0, nat = 5, ntyp = 2
/
ATOMIC_SPECIES
Pr 140.91 Pr.upf
Si 28.09 Si.upf
ATOMIC_POSITIONS angstrom
Pr 0.0000 0.0000 0.0000
Pr 0.6491 -2.4712 3.1386
Pr 3.7751 -0.6915 1.2840
Pr 1.7084 -3.6203 -0.5945
Si 3.0663 -3.3915 1.9140
CELL_PARAMETERS angstrom
-1.4177 -5.4000 1.2600
4.8344 -1.8406 -2.4491
2.7159 0.4576 5.0171
! Uncorrected formation energy   0.023 eV/atom
! Space-group type   Pm-3m, No. 221
! Volume   187.5 Å³/cell


(5)
! AcInSn PBE optimized geometry; values from VASP
&SYSTEM
  ibrav = 0, nat = 3, ntyp = 3
/
ATOMIC_SPECIES
Ac 227.00 Ac.upf
Sn 118.71 Sn.upf
In 114.82 In.upf
ATOMIC_POSITIONS angstrom
Ac 2.3150 2.3150 1.0971
Sn 2.3150 2.3150 4.4015
In 0.0000 0.0000 2.6073
CELL_PARAMETERS angstrom
4.6299 0.0000 0.0000
0.0000 4.6299 0.0000
-2.3150 -2.3150 4.7682
! Space-group type   I4mm, No. 107
! Volume   102.2 Å³/cell
! Energy relative to the elements   -0.29 eV per atom


(6)
! Nd5Tm2Cd4 PBE optimized geometry; values from VASP
&SYSTEM
  ibrav = 0, nat = 11, ntyp = 3
/
ATOMIC_SPECIES
Nd 144.24 Nd.upf
Tm 168.93 Tm.upf
Cd 112.41 Cd.upf
ATOMIC_POSITIONS angstrom
Nd -1.7241 -6.5006 -4.5478
Nd -2.2387 -7.9904 3.2232
Nd -0.6531 -5.8743 0.7723
Nd -1.6652 0.2257 0.3087
Nd -3.3097 -8.6167 -2.0969
Tm -1.1913 -3.3914 -3.9469
Tm -2.7715 -11.0996 2.6223
Cd -2.7728 -5.1897 -1.7064
Cd -3.4090 -11.6118 -0.4420
Cd -1.1900 -9.3013 0.3818
Cd -0.5539 -2.8792 -0.8826
CELL_PARAMETERS angstrom
-3.3305 0.4515 0.6173
-1.7964 -3.8000 -6.9126
1.1640 -11.1424 4.9707
! Space-group type   C2/m, No. 12
! Volume   334.9 Å³/cell
! Energy relative to the elements   0.02 eV per atom


Q: Which of these has the highest volume?
A: Pm2SbI3


Copy entry 6 word for word.
! Nd5Tm2Cd4 PBE optimized geometry; values from VASP
&SYSTEM
  ibrav = 0, nat = 11, ntyp = 3
/
ATOMIC_SPECIES
Nd 144.24 Nd.upf
Tm 168.93 Tm.upf
Cd 112.41 Cd.upf
ATOMIC_POSITIONS angstrom
Nd -1.7241 -6.5006 -4.5478
Nd -2.2387 -7.9904 3.2232
Nd -0.6531 -5.8743 0.7723
Nd -1.6652 0.2257 0.3087
Nd -3.3097 -8.6167 -2.0969
Tm -1.1913 -3.3914 -3.9469
Tm -2.7715 -11.0996 2.6223
Cd -2.7728 -5.1897 -1.7064
Cd -3.4090 -11.6118 -0.4420
Cd -1.1900 -9.3013 0.3818
Cd -0.5539 -2.8792 -0.8826
CELL_PARAMETERS angstrom
-3.3305 0.4515 0.6173
-1.7964 -3.8000 -6.9126
1.1640 -11.1424 4.9707
! Space-group type   C2/m, No. 12
! Volume   334.9 Å³/cell
! Energy relative to the elements   0.02 eV per atom


Q: Among the records above, which one has the highest volume?
A: Pm2SbI3


What did the fifth record say?
! AcInSn PBE optimized geometry; values from VASP
&SYSTEM
  ibrav = 0, nat = 3, ntyp = 3
/
ATOMIC_SPECIES
Ac 227.00 Ac.upf
Sn 118.71 Sn.upf
In 114.82 In.upf
ATOMIC_POSITIONS angstrom
Ac 2.3150 2.3150 1.0971
Sn 2.3150 2.3150 4.4015
In 0.0000 0.0000 2.6073
CELL_PARAMETERS angstrom
4.6299 0.0000 0.0000
0.0000 4.6299 0.0000
-2.3150 -2.3150 4.7682
! Space-group type   I4mm, No. 107
! Volume   102.2 Å³/cell
! Energy relative to the elements   -0.29 eV per atom